1.
First-principles (PBE-GGA) data for a relaxed Sm2Cu12SiNi3 crystal, as listed in Alexandria via LeMat-Bulk.

Values from the calculation:
- total DFT energy (no corrections) (eV per atom) = -4.13
- raw formation energy (eV/atom) = 0.39

Lattice parameters (Å, degrees): 7.9902 7.9902 17.4653 90.00 90.00 120.00
With the nearest neighbours (Å) after each atom.
Space group R-3m (No. 166, hexagonal axes)
Unique sites:
Sm 0.0000 0.0000 0.1097 (multiplicity 6)  9 Cu 2.89-3.13
Cu 0.0184 0.5092 0.1345 (multiplicity 18)  1 Si 2.25, 1 Ni 2.35, 4 Cu 2.41-2.45
Cu 0.1084 0.5542 0.4040 (multiplicity 18)  2 Ni 2.38, 2 Cu 2.41
Si 0.0000 0.0000 0.5000 (multiplicity 3)  6 Cu 2.25
Ni 0.0000 0.5000 0.0000 (multiplicity 9)  6 Cu 2.35-2.38


2.
First-principles (PBE-GGA) data for a relaxed SmCu2SiNi2 crystal, as listed in Alexandria via LeMat-Bulk.

Values from the calculation:
- total DFT energy (no corrections) (eV per atom) = -5.07
- raw formation energy (eV/atom) = -0.09

Lattice parameters (Å, degrees): 4.2369 4.2369 5.5535 90.00 90.00 90.00
With the nearest neighbours (Å) after each atom.
Space group P4/mmm (No. 123)
Unique sites:
Sm 0.0000 0.0000 0.0000 (multiplicity 1)  2 Si 2.78
Cu 0.5000 0.5000 0.2372 (multiplicity 2)  4 Ni 2.57, 1 Cu 2.63
Si 0.0000 0.0000 0.5000 (multiplicity 1)  4 Ni 2.12
Ni 0.0000 0.5000 0.5000 (multiplicity 2)  2 Si 2.12


3.
First-principles (PBE-GGA) data for a relaxed SrCuSiNi crystal, as listed in Alexandria via LeMat-Bulk.

Values from the calculation:
- total DFT energy (no corrections) (eV per atom) = -4.64
- raw formation energy (eV/atom) = -0.39

Lattice parameters (Å, degrees): 7.0745 4.0984 5.8235 90.00 113.90 90.00
With the nearest neighbours (Å) after each atom.
Space group Cm (No. 8)
Unique sites:
Sr 0.0000 0.0000 0.0000 (multiplicity 2)  4 Ni 3.03-3.30, 4 Cu 3.04-3.29
Cu 0.3095 0.5000 0.4296 (multiplicity 2)  3 Si 2.42, 3 Ni 2.47-2.48
Si 0.0092 0.5000 0.5304 (multiplicity 2)  3 Ni 2.36-2.37, 3 Cu 2.42
Ni 0.1891 0.0000 0.5685 (multiplicity 2)  3 Si 2.36-2.37, 3 Cu 2.47-2.48


4.
First-principles (PBE-GGA) data for a relaxed Tb2Cu3SiNi12 crystal, as listed in Alexandria via LeMat-Bulk.

Values from the calculation:
- total DFT energy (no corrections) (eV per atom) = -5.24
- raw formation energy (eV/atom) = 0.11

Lattice parameters (Å, degrees): 5.9541 5.9541 25.1018 90.00 90.00 120.00
With the nearest neighbours (Å) after each atom.
Space group R-3m (No. 166, hexagonal axes)
Unique sites:
Tb 0.0000 0.0000 0.1514 (multiplicity 6)  6 Ni 2.84-2.87
Cu 0.0000 0.5000 0.0000 (multiplicity 9)  6 Ni 2.33-2.50
Si 0.0000 0.0000 0.5000 (multiplicity 3)  6 Ni 2.25
Ni 0.0490 0.5245 0.0989 (multiplicity 18)  1 Si 2.25, 2 Ni 2.36, 1 Cu 2.50
Ni 0.0735 0.5368 0.6148 (multiplicity 18)  4 Ni 2.32-2.36, 2 Cu 2.33


5.
First-principles (PBE-GGA) data for a relaxed Tb2CuSi3Ni12 crystal, as listed in Alexandria via LeMat-Bulk.

Values from the calculation:
- total DFT energy (no corrections) (eV per atom) = -5.64
- raw formation energy (eV/atom) = -0.14

Lattice parameters (Å, degrees): 8.4094 8.4094 11.8071 90.00 90.00 120.00
With the nearest neighbours (Å) after each atom.
Space group R-3m (No. 166, hexagonal axes)
Unique sites:
Tb 0.0000 0.0000 0.1550 (multiplicity 6)  9 Ni 2.51-2.76
Cu 0.0000 0.0000 0.5000 (multiplicity 3)  6 Ni 2.37
Si 0.0000 0.5000 0.0000 (multiplicity 9)  6 Ni 2.27-2.49
Ni 0.0101 0.5050 0.3905 (multiplicity 18)  2 Ni 2.34-2.59, 2 Si 2.49
Ni 0.0111 0.5056 0.1922 (multiplicity 18)  1 Si 2.27, 3 Ni 2.34-2.42, 1 Cu 2.37, 1 Tb 2.51


6.
First-principles (PBE-GGA) data for a relaxed Tb2CuSi4Ni3 crystal, as listed in Alexandria via LeMat-Bulk.

Values from the calculation:
- total DFT energy (no corrections) (eV per atom) = -6.03
- raw formation energy (eV/atom) = -0.79

Lattice parameters (Å, degrees): 3.9810 3.9810 9.5803 90.00 90.00 90.00
With the nearest neighbours (Å) after each atom.
Space group P-4m2 (No. 115)
Unique sites:
Tb 0.0000 0.5000 0.2477 (multiplicity 2)  8 Si 3.03-3.10, 6 Ni 3.06-3.13, 2 Cu 3.13
Cu 0.0000 0.0000 0.5000 (multiplicity 1)  4 Si 2.38
Si 0.0000 0.0000 0.0000 (multiplicity 1)  4 Ni 2.31
Si 0.0000 0.5000 0.6359 (multiplicity 2)  3 Ni 2.31-2.38, 2 Cu 2.38
Si 0.5000 0.5000 0.0000 (multiplicity 1)  4 Ni 2.31
Ni 0.0000 0.5000 0.8774 (multiplicity 2)  5 Si 2.31
Ni 0.5000 0.5000 0.5000 (multiplicity 1)  4 Si 2.38


7.
First-principles (PBE-GGA) data for a relaxed CuSiTcNi crystal, as listed in Alexandria via LeMat-Bulk.

Values from the calculation:
- total DFT energy (no corrections) (eV per atom) = -6.59
- raw formation energy (eV/atom) = -0.18

Lattice parameters (Å, degrees): 5.8093 5.8093 5.8093 90.00 90.00 90.00
With the nearest neighbours (Å) after each atom.
Space group F-43m (No. 216)
Unique sites:
Cu 0.0000 0.0000 0.0000 (multiplicity 4)  4 Ni 2.52, 4 Tc 2.52
Si 0.0000 0.0000 0.5000 (multiplicity 4)  4 Tc 2.52, 4 Ni 2.52
Tc 0.2500 0.2500 0.2500 (multiplicity 4)  4 Cu 2.52, 4 Si 2.52
Ni 0.2500 0.2500 0.7500 (multiplicity 4)  4 Cu 2.52, 4 Si 2.52


8.
First-principles (PBE-GGA) data for a relaxed ThCuSi2Ni5 crystal, as listed in Alexandria via LeMat-Bulk.

Values from the calculation:
- total DFT energy (no corrections) (eV per atom) = -5.90
- raw formation energy (eV/atom) = -0.21

Lattice parameters (Å, degrees): 3.9199 3.9199 8.4136 90.00 90.00 90.00
With the nearest neighbours (Å) after each atom.
Space group P4/mmm (No. 123)
Unique sites:
Th 0.0000 0.0000 0.0000 (multiplicity 1)  12 Ni 2.77-2.79
Cu 0.0000 0.0000 0.5000 (multiplicity 1)  8 Ni 2.96, 8 Si 2.99
Si 0.5000 0.5000 0.3675 (multiplicity 2)  1 Si 2.23, 4 Ni 2.25
Ni 0.0000 0.5000 0.2367 (multiplicity 4)  2 Si 2.25
Ni 0.5000 0.5000 0.0000 (multiplicity 1)  4 Th 2.77, 8 Ni 2.79, 2 Si 3.09


9.
First-principles (PBE-GGA) data for a relaxed Th2CuSi3Ni12 crystal, as listed in Alexandria via LeMat-Bulk.

Values from the calculation:
- total DFT energy (no corrections) (eV per atom) = -5.97
- raw formation energy (eV/atom) = -0.16

Lattice parameters (Å, degrees): 8.4559 8.4559 12.0242 90.00 90.00 120.00
With the nearest neighbours (Å) after each atom.
Space group R-3m (No. 166, hexagonal axes)
Unique sites:
Th 0.0000 0.0000 0.1554 (multiplicity 6)  9 Ni 2.52-2.80
Cu 0.0000 0.0000 0.5000 (multiplicity 3)  6 Ni 2.39
Si 0.0000 0.5000 0.0000 (multiplicity 9)  6 Ni 2.32-2.49
Ni 0.0103 0.5051 0.1926 (multiplicity 18)  1 Si 2.32, 3 Ni 2.37-2.45, 1 Cu 2.39, 1 Th 2.52
Ni 0.0126 0.5063 0.3896 (multiplicity 18)  1 Ni 2.37, 2 Si 2.49


10.
First-principles (PBE-GGA) data for a relaxed Th2CuSi4Ni3 crystal, as listed in Alexandria via LeMat-Bulk.

Values from the calculation:
- total DFT energy (no corrections) (eV per atom) = -6.60
- raw formation energy (eV/atom) = -0.80

Lattice parameters (Å, degrees): 4.0943 4.0943 9.5563 90.00 90.00 90.00
With the nearest neighbours (Å) after each atom.
Space group P-4m2 (No. 115)
Unique sites:
Th 0.0000 0.5000 0.2494 (multiplicity 2)  8 Si 3.11-3.14, 6 Ni 3.15, 2 Cu 3.15
Cu 0.0000 0.0000 0.5000 (multiplicity 1)  4 Si 2.40
Si 0.0000 0.0000 0.0000 (multiplicity 1)  4 Ni 2.34
Si 0.0000 0.5000 0.6316 (multiplicity 2)  3 Ni 2.38-2.40, 2 Cu 2.40
Si 0.5000 0.5000 0.0000 (multiplicity 1)  4 Ni 2.34
Ni 0.0000 0.5000 0.8807 (multiplicity 2)  5 Si 2.34-2.38
Ni 0.5000 0.5000 0.5000 (multiplicity 1)  4 Si 2.40


11.
First-principles (PBE-GGA) data for a relaxed Th2Cu3SiNi12 crystal, as listed in Alexandria via LeMat-Bulk.

Values from the calculation:
- total DFT energy (no corrections) (eV per atom) = -5.60
- raw formation energy (eV/atom) = 0.06

Lattice parameters (Å, degrees): 6.1378 6.1378 24.1119 90.00 90.00 120.00
With the nearest neighbours (Å) after each atom.
Space group R-3m (No. 166, hexagonal axes)
Unique sites:
Th 0.0000 0.0000 0.1521 (multiplicity 6)  6 Ni 2.79-2.80
Cu 0.0000 0.5000 0.0000 (multiplicity 9)  6 Ni 2.35-2.42
Si 0.0000 0.0000 0.5000 (multiplicity 3)  6 Ni 2.23
Ni 0.0437 0.5218 0.1000 (multiplicity 18)  1 Si 2.23, 2 Ni 2.41, 1 Cu 2.42
Ni 0.0763 0.5381 0.6156 (multiplicity 18)  2 Cu 2.35, 4 Ni 2.37-2.41


12.
First-principles (PBE-GGA) data for a relaxed ThCu2SiNi2 crystal, as listed in Alexandria via LeMat-Bulk.

Values from the calculation:
- total DFT energy (no corrections) (eV per atom) = -5.53
- raw formation energy (eV/atom) = -0.09

Lattice parameters (Å, degrees): 4.2159 4.2159 5.6536 90.00 90.00 90.00
With the nearest neighbours (Å) after each atom.
Space group P4/mmm (No. 123)
Unique sites:
Th 0.0000 0.0000 0.0000 (multiplicity 1)  2 Si 2.83
Cu 0.5000 0.5000 0.2284 (multiplicity 2)  1 Cu 2.58, 4 Ni 2.61
Si 0.0000 0.0000 0.5000 (multiplicity 1)  4 Ni 2.11
Ni 0.0000 0.5000 0.5000 (multiplicity 2)  2 Si 2.11